(1)
Below is crystalline TlPbSe2 at its relaxed geometry, with properties calculated at the PBE level.

Cell and atoms, written as POSCAR:
```
TlPbSe2
1.0
4.210 0.000 0.000
0.000 2.024 7.105
0.000 -2.024 7.105
Tl Pb Se
1 1 2
Cartesian
0.000 0.000 0.000 Tl
2.105 0.000 3.293 Pb
0.000 0.000 11.373 Se
2.105 0.000 7.882 Se
```

As for the space group: No. 38. The uncorrected energy comes out at -0.26481 Ry/atom.


(2)
Below is crystalline MgBe3Si at its relaxed geometry, with properties calculated at the PBE level.

Cell and atoms, written as POSCAR:
```
MgBe3Si
1.0
4.409 0.000 0.000
0.000 4.409 0.000
0.000 0.000 4.409
Mg Be Si
1 3 1
Cartesian
0.000 0.000 0.000 Mg
0.000 0.000 2.205 Be
0.000 2.205 0.000 Be
2.205 0.000 0.000 Be
2.205 2.205 2.205 Si
```

As for the space group: No. 221. The uncorrected energy comes out at -0.14602 Ry/atom.


(3)
Below is crystalline LiFeNi2 at its relaxed geometry, with properties calculated at the PBE level.

Cell and atoms, written as POSCAR:
```
LiFeNi2
1.0
2.508 0.000 0.000
0.000 3.469 0.000
0.000 0.000 5.170
Li Fe Ni
1 1 2
Cartesian
0.000 0.000 0.000 Li
0.000 0.000 2.585 Fe
1.254 1.734 1.303 Ni
1.254 1.734 3.868 Ni
```

As for the space group: No. 47. As for the formation energy from the elements: 0.011 eV/atom.


(4)
Below is crystalline VTe2SeN at its relaxed geometry, with properties calculated at the PBE level.

Cell and atoms, written as POSCAR:
```
VTe2SeN
1.0
5.620 0.000 0.000
0.000 5.620 0.000
0.000 0.000 3.642
V Te Se N
1 2 1 1
Cartesian
0.000 0.000 0.000 V
0.000 2.810 1.821 Te
2.810 0.000 1.821 Te
2.810 2.810 1.821 Se
2.810 2.810 0.000 N
```

As for the space group: No. 123. The uncorrected energy comes out at -0.32340 Ry/atom.


| no. | density of states at the Fermi level (states/eV per cell) | magnetization (Bohr magnetons per cell) |
| --- | --- | --- |
| 1 | 1.1 | 0.0 |
| 2 | 2.2 | 0.0 |
| 3 | 2.1 | 3.6 |
| 4 | 4.7 | 2.8 |